No. 1
DFT (PBE) results for a relaxed structure of Al2NiSb.

Cell lengths 3.866, 4.080, 4.888 Å; angles 90.00, 107.02, 90.00 degrees
Space group P2/m (No. 10)
One atom of each set of equivalent atoms:
1 Al 0.147 0.000 0.281 (multiplicity 2)
2 Ni 0.000 0.500 0.500 (multiplicity 1)
3 Sb 0.500 0.500 0.000 (multiplicity 1)

Results
Mass density: 5.28 g/cm³
Calculated total energy: -4.30 eV per atom
Total moment: 0.00 μB per atom
DOS(E_F): 1.8 states/eV/f.u.

---

No. 2
DFT (PBE) results for a relaxed structure of Al2Ni2Sb.

Cell lengths 3.820, 3.820, 11.192 Å; angles 90.00, 90.00, 90.00 degrees
Space group I4/mmm (No. 139)
One atom of each set of equivalent atoms:
1 Al 0.000 0.000 0.120 (multiplicity 4)
2 Ni 0.000 0.500 0.250 (multiplicity 4)
3 Sb 0.000 0.000 0.500 (multiplicity 2)

Results
Mass density: 5.96 g/cm³
Energy above the lowest structure with this stoichiometry: 0.210 eV per atom
Total moment: 0.00 μB per atom
DOS(E_F): 2.3 states/eV/f.u.

---

No. 3
DFT (PBE) results for a relaxed structure of Al2NiSb.

Cell lengths 4.430, 4.430, 16.141 Å; angles 90.00, 90.00, 90.00 degrees
Space group I-42d (No. 122)
One atom of each set of equivalent atoms:
1 Al 0.160 0.250 0.125 (multiplicity 8)
2 Ni 0.000 0.000 0.000 (multiplicity 4)
3 Sb 0.000 0.000 0.500 (multiplicity 4)

Results
Mass density: 4.92 g/cm³
Calculated total energy: -4.33 eV per atom
Total moment: 0.00 μB per atom
DOS(E_F): 2.0 states/eV/f.u.

---

No. 4
DFT (PBE) results for a relaxed structure of Al2Ni2Sb.

Cell lengths 7.460, 7.460, 2.782 Å; angles 90.00, 90.00, 90.00 degrees
Space group P4/mbm (No. 127)
One atom of each set of equivalent atoms:
1 Al 0.132 0.368 0.000 (multiplicity 4)
2 Ni 0.154 0.654 0.500 (multiplicity 4)
3 Sb 0.000 0.000 0.000 (multiplicity 2)

Results
Mass density: 6.29 g/cm³
Energy above the lowest structure with this stoichiometry: 0.124 eV per atom
Total moment: 0.00 μB per atom
DOS(E_F): 2.0 states/eV/f.u.

---

No. 5
DFT (PBE) results for a relaxed structure of Al2NiSb.

Cell lengths 5.332, 10.283, 3.157 Å; angles 90.00, 125.08, 90.00 degrees
Space group C2/m (No. 12)
One atom of each set of equivalent atoms:
1 Al 0.250 0.250 0.000 (multiplicity 4)
2 Ni 0.000 0.000 0.000 (multiplicity 2)
3 Sb 0.000 0.500 0.000 (multiplicity 2)

Results
Mass density: 5.50 g/cm³
Calculated total energy: -4.23 eV per atom
Total moment: 0.00 μB per atom
DOS(E_F): 1.9 states/eV/f.u.

---

No. 6
DFT (PBE) results for a relaxed structure of Al3NiSb.

Cell lengths 4.586, 4.586, 4.586 Å; angles 90.00, 90.00, 90.00 degrees
Space group Pm-3m (No. 221)
One atom of each set of equivalent atoms:
1 Al 0.000 0.000 0.500 (multiplicity 3)
2 Ni 0.000 0.000 0.000 (multiplicity 1)
3 Sb 0.500 0.500 0.500 (multiplicity 1)

Results
Mass density: 4.50 g/cm³
Energy above the lowest structure with this stoichiometry: 0.000 eV per atom
Total moment: 0.00 μB per atom
DOS(E_F): 2.6 states/eV/f.u.

---

No. 7
DFT (PBE) results for a relaxed structure of Al2NiSb.

Cell lengths 3.973, 3.973, 8.582 Å; angles 90.00, 90.00, 90.00 degrees
Space group I4/mmm (No. 139)
One atom of each set of equivalent atoms:
1 Al 0.000 0.500 0.250 (multiplicity 4)
2 Ni 0.000 0.000 0.000 (multiplicity 2)
3 Sb 0.000 0.000 0.500 (multiplicity 2)

Results
Mass density: 5.75 g/cm³
Calculated total energy: -4.25 eV per atom
Total moment: 0.00 μB per atom
DOS(E_F): 1.8 states/eV/f.u.

---

No. 8
DFT (PBE) results for a relaxed structure of Al2NiSb.

Cell lengths 5.198, 7.727, 3.474 Å; angles 90.00, 90.00, 90.00 degrees
Space group Cmmm (No. 65)
One atom of each set of equivalent atoms:
1 Al 0.250 0.250 0.000 (multiplicity 4)
2 Ni 0.000 0.000 0.500 (multiplicity 2)
3 Sb 0.000 0.500 0.500 (multiplicity 2)

Results
Mass density: 5.58 g/cm³
Calculated total energy: -4.24 eV per atom
Total moment: 0.00 μB per atom
DOS(E_F): 1.6 states/eV/f.u.

---

Copy entry 4 word for word.
DFT (PBE) results for a relaxed structure of Al2Ni2Sb.

Cell lengths 7.460, 7.460, 2.782 Å; angles 90.00, 90.00, 90.00 degrees
Space group P4/mbm (No. 127)
One atom of each set of equivalent atoms:
1 Al 0.132 0.368 0.000 (multiplicity 4)
2 Ni 0.154 0.654 0.500 (multiplicity 4)
3 Sb 0.000 0.000 0.000 (multiplicity 2)

Results
Mass density: 6.29 g/cm³
Energy above the lowest structure with this stoichiometry: 0.124 eV per atom
Total moment: 0.00 μB per atom
DOS(E_F): 2.0 states/eV/f.u.